A PBEsol-optimized structure of POs2Cl, computed with SCAN.

Summary:
Uncorrected formation energy = 0.208 eV/atom
Electronic total energy = -322.6 eV for the cell shown
Offset from the most stable computed form = 0.0 meV/atom
Spin magnetization = 0.0 μB/cell

a = 6.9107 Å, b = 2.9005 Å, c = 7.3438 Å
α = 90.00°, β = 110.86°, γ = 90.00°
Closest atoms and distances in Å follow each position.
Space group C2/m (No. 12)
One atom of each set of equivalent atoms:
P: 0.0000 0.0000 0.0000  6 Os 2.29-2.35
Os: 0.1499 0.5000 0.8359  3 P 2.29-2.35, 1 Cl 2.31
Cl: 0.0000 0.5000 0.5000  2 Os 2.31


A PBEsol-optimized structure of InAgP2, computed with SCAN.

Summary:
Electronic total energy = -85.0 eV for the cell shown
Formation energy = 0.1253 eV/atom
Spin magnetization = 0.0 μB/cell

a = 4.6771 Å, b = 3.7521 Å, c = 4.6805 Å
α = 90.00°, β = 104.32°, γ = 90.00°
Closest atoms and distances in Å follow each position.
Space group P2/m (No. 10)
One atom of each set of equivalent atoms:
In: 0.0000 0.0000 0.0000  4 P 2.79, 2 Ag 2.87
Ag: 0.5000 0.0000 0.5000  4 P 2.54
P: 0.3376 0.5000 0.7891  1 P 2.17


A PBEsol-optimized structure of SiRu, computed with SCAN.

Summary:
Uncorrected formation energy = -0.766 eV/atom
Electronic total energy = -46.4 eV for the cell shown
Spin magnetization = 0.0 μB/cell

a = 2.9086 Å, b = 2.9086 Å, c = 2.9086 Å
α = 90.00°, β = 90.00°, γ = 90.00°
Closest atoms and distances in Å follow each position.
Space group Pm-3m (No. 221)
One atom of each set of equivalent atoms:
Si: 0.0000 0.0000 0.0000  8 Ru 2.52
Ru: 0.5000 0.5000 0.5000  8 Si 2.52